# 1
HfScPb2Br | Alexandria via LeMat-Bulk | GGA-PBE | relaxed; calculated total energy = -0.324 Ry/atom; calculated density = 7.512 g cm⁻³; symmetry = P4/mmm (123); raw formation energy = 0.67 eV/atom
1.0
5.702 0.000 0.000
0.000 5.702 0.000
0.000 0.000 4.880
Hf Sc Pb Br
1 1 2 1
direct
0.000 0.000 0.000
0.500 0.500 0.000
0.000 0.500 0.500
0.500 0.000 0.500
0.000 0.000 0.500


# 2
LaFe5 | Alexandria via LeMat-Bulk | GGA-PBE | relaxed; calculated total energy = -0.552 Ry/atom; calculated density = 7.426 g cm⁻³; symmetry = Amm2 (38); DFT formation energy = 34.71 kJ/mol of atoms
1.0
3.865 0.000 0.000
0.000 1.505 8.036
0.000 -1.505 8.036
La Fe
1 5
direct
0.000 0.000 0.000
0.000 0.299 0.299
0.000 0.673 0.673
0.500 0.155 0.155
0.500 0.390 0.390
0.500 0.777 0.777


# 3
Ta2TcI2 | Alexandria via LeMat-Bulk | GGA-PBE | relaxed; calculated total energy = -0.450 Ry/atom; calculated density = 9.746 g cm⁻³; symmetry = I4/mmm (139); energy above the most stable polymorph in this dataset = 0.00 kJ per mole of atoms; raw formation energy = 1.31 eV/atom
1.0
-1.906 1.906 8.371
1.906 -1.906 8.371
1.906 1.906 -8.371
Ta Tc I
2 1 2
direct
0.250 0.750 0.500
0.750 0.250 0.500
0.000 0.000 0.000
0.390 0.390 0.000
0.610 0.610 0.000